Density functional theory data (PBE) for crystalline LaPrMgSi at its relaxed geometry.

Summary:
raw formation energy = -0.2881 eV/atom
E_tot = -4.4692 eV per atom
crystal system = cubic
total magnetization = 0.00 μB/f.u.
symmetry = No. 216

Cell lengths 5.3234, 5.3234, 5.3234 Å; angles 60.00, 60.00, 60.00 degrees
Closest atoms and distances in Å follow each position.
Atoms (fractional coordinates):
Pr 0.0000 0.0000 0.0000  4 Si 3.26, 4 Mg 3.26
Si 0.2500 0.2500 0.2500  4 La 3.26, 4 Pr 3.26
Mg 0.7500 0.7500 0.7500  4 La 3.26, 4 Pr 3.26
La 0.5000 0.5000 0.5000  4 Mg 3.26, 4 Si 3.26